# LaPmZnAg (PBE-GGA, relaxed)
# formation energy: -1.1 eV/f.u.
# size of the total moment: 0.059 μB/cell
# energy relative to the lowest polymorph listed for this composition: 18 meV per atom
# total energy: -59.61 eV for the cell shown
# volume: 423 Å³/cell
data_LaPmZnAg
_chemical_formula_sum 'La4 Pm4 Zn4 Ag4'
_symmetry_space_group_name_H-M 'F -4 3 m'
_symmetry_Int_Tables_number 216
_symmetry_space_group_name_Hall 'F -4 2 3'
_cell_length_a 7.509
_cell_length_b 7.509
_cell_length_c 7.509
_cell_angle_alpha 90.00
_cell_angle_beta 90.00
_cell_angle_gamma 90.00
loop_
_atom_site_label
_atom_site_type_symbol
_atom_site_fract_x
_atom_site_fract_y
_atom_site_fract_z
La1 La 0.000 0.000 0.000
Pm1 Pm 0.000 0.000 0.500
Zn1 Zn 0.250 0.250 0.750
Ag1 Ag 0.250 0.250 0.250

***

# La2Pr3Ag3 (PBE-GGA, relaxed)
# formation energy: -1.3 eV/f.u.
# size of the total moment: 0.002 μB/cell
# total energy: -68.01 eV for the cell shown
# volume: 474 Å³/cell
data_La2Pr3Ag3
_chemical_formula_sum 'La4 Pr6 Ag6'
_symmetry_space_group_name_H-M 'I m m m'
_symmetry_Int_Tables_number 71
_symmetry_space_group_name_Hall '-I 2 2'
_cell_length_a 3.809
_cell_length_b 5.512
_cell_length_c 22.555
_cell_angle_alpha 90.00
_cell_angle_beta 90.00
_cell_angle_gamma 90.00
loop_
_atom_site_label
_atom_site_type_symbol
_atom_site_fract_x
_atom_site_fract_y
_atom_site_fract_z
La1 La 0.000 0.000 0.231
Pr1 Pr 0.000 0.000 0.000
Pr2 Pr 0.000 0.500 0.119
Ag1 Ag 0.000 0.000 0.500
Ag2 Ag 0.000 0.500 0.385

***

# La6PrAg2 (PBE-GGA, relaxed)
# formation energy: -0.9 eV/f.u.
# size of the total moment: 0.000 μB/cell
# energy relative to the lowest polymorph listed for this composition: 0 meV per atom
# total energy: -81.99 eV for the cell shown
# volume: 590 Å³/cell
data_La6PrAg2
_chemical_formula_sum 'La12 Pr2 Ag4'
_symmetry_space_group_name_H-M 'C 1 2/m 1'
_symmetry_Int_Tables_number 12
_symmetry_space_group_name_Hall '-C 2y'
_cell_length_a 13.094
_cell_length_b 3.832
_cell_length_c 12.355
_cell_angle_alpha 90.00
_cell_angle_beta 107.79
_cell_angle_gamma 90.00
loop_
_atom_site_label
_atom_site_type_symbol
_atom_site_fract_x
_atom_site_fract_y
_atom_site_fract_z
La1 La 0.027 0.000 0.333
La2 La 0.183 0.500 0.877
La3 La 0.188 0.500 0.591
Pr1 Pr 0.000 0.000 0.000
Ag1 Ag 0.147 0.500 0.196

***

# La5PrAg (PBE-GGA, relaxed)
# formation energy: 0.5 eV/f.u.
# size of the total moment: 0.000 μB/cell
# total energy: -127.22 eV for the cell shown
# volume: 957 Å³/cell
data_La5PrAg
_chemical_formula_sum 'La20 Pr4 Ag4'
_symmetry_space_group_name_H-M 'C 1 2/c 1'
_symmetry_Int_Tables_number 15
_symmetry_space_group_name_Hall '-C 2yc'
_cell_length_a 12.081
_cell_length_b 6.781
_cell_length_c 12.567
_cell_angle_alpha 90.00
_cell_angle_beta 111.60
_cell_angle_gamma 90.00
loop_
_atom_site_label
_atom_site_type_symbol
_atom_site_fract_x
_atom_site_fract_y
_atom_site_fract_z
La1 La 0.000 0.218 0.250
La2 La 0.162 0.469 0.038
La3 La 0.237 0.034 0.678
Pr1 Pr 0.000 0.253 0.750
Ag1 Ag 0.000 0.000 0.000

***

# LaPr6Ag (PBE-GGA, relaxed)
# formation energy: 0.2 eV/f.u.
# size of the total moment: 0.000 μB/cell
# total energy: -108.73 eV for the cell shown
# volume: 824 Å³/cell
data_LaPr6Ag
_chemical_formula_sum 'La3 Pr18 Ag3'
_symmetry_space_group_name_H-M 'R -3'
_symmetry_Int_Tables_number 148
_symmetry_space_group_name_Hall '-R 3'
_cell_length_a 9.8011
_cell_length_b 9.8011
_cell_length_c 9.9018
_cell_angle_alpha 90.00
_cell_angle_beta 90.00
_cell_angle_gamma 120.00
loop_
_atom_site_label
_atom_site_type_symbol
_atom_site_fract_x
_atom_site_fract_y
_atom_site_fract_z
La1 La 0.0000 0.0000 0.0000
Pr1 Pr 0.0292 0.2576 0.7045
Ag1 Ag 0.0000 0.0000 0.5000

***

# LaPr3Ag2 (PBE-GGA, relaxed)
# formation energy: -0.9 eV/f.u.
# size of the total moment: 0.201 μB/cell
# total energy: -25.87 eV for the cell shown
# volume: 181 Å³/cell
data_LaPr3Ag2
_chemical_formula_sum 'La1 Pr3 Ag2'
_symmetry_space_group_name_H-M 'P 4/m m m'
_symmetry_Int_Tables_number 123
_symmetry_space_group_name_Hall '-P 4 2'
_cell_length_a 3.767
_cell_length_b 3.767
_cell_length_c 12.776
_cell_angle_alpha 90.00
_cell_angle_beta 90.00
_cell_angle_gamma 90.00
loop_
_atom_site_label
_atom_site_type_symbol
_atom_site_fract_x
_atom_site_fract_y
_atom_site_fract_z
La1 La 0.000 0.000 0.000
Pr1 Pr 0.500 0.500 0.202
Pr2 Pr 0.500 0.500 0.500
Ag1 Ag 0.000 0.000 0.350

***

volume of number 6 (LaPr3Ag2)?
181 Å³/cell

***

formation energy of number 1 (LaPmZnAg)?
-1.1 eV/f.u.

***

What did the fifth record say?
# LaPr6Ag (PBE-GGA, relaxed)
# formation energy: 0.2 eV/f.u.
# size of the total moment: 0.000 μB/cell
# total energy: -108.73 eV for the cell shown
# volume: 824 Å³/cell
data_LaPr6Ag
_chemical_formula_sum 'La3 Pr18 Ag3'
_symmetry_space_group_name_H-M 'R -3'
_symmetry_Int_Tables_number 148
_symmetry_space_group_name_Hall '-R 3'
_cell_length_a 9.8011
_cell_length_b 9.8011
_cell_length_c 9.9018
_cell_angle_alpha 90.00
_cell_angle_beta 90.00
_cell_angle_gamma 120.00
loop_
_atom_site_label
_atom_site_type_symbol
_atom_site_fract_x
_atom_site_fract_y
_atom_site_fract_z
La1 La 0.0000 0.0000 0.0000
Pr1 Pr 0.0292 0.2576 0.7045
Ag1 Ag 0.0000 0.0000 0.5000